Material: SrAlSi2Rh
Method: DFT, PBE-GGA
State: relaxed

Calculated values
Its energy above the most stable polymorph in this dataset is 0 meV/atom. The formation energy (no corrections) comes out at -59.8 kJ/mol of atoms. The density of states at the Fermi level comes out at 2.0 states/eV/f.u.

The structure in CIF format:
```
data_SrAlSi2Rh
_chemical_formula_sum 'Sr1 Al1 Si2 Rh1'
_cell_length_a 4.1256
_cell_length_b 4.1256
_cell_length_c 6.1237
_cell_angle_alpha 109.69
_cell_angle_beta 109.69
_cell_angle_gamma 90.00
_symmetry_space_group_name_H-M 'P 1'
_symmetry_Int_Tables_number 1
loop_
_symmetry_equiv_pos_as_xyz
'x,y,z'
loop_
_atom_site_label
_atom_site_type_symbol
_atom_site_fract_x
_atom_site_fract_y
_atom_site_fract_z
Rh1 Rh 0.2500 0.7500 0.5000
Al1 Al 0.7500 0.2500 0.5000
Sr1 Sr 0.0000 0.0000 0.0000
Si1 Si 0.3829 0.3829 0.7658
Si2 Si 0.6171 0.6171 0.2342
```